SCAN Sc2SbW, PBEsol geometry; calculated total energy = -33.6346 eV/atom; DOS at the Fermi energy = 0.345 states/eV per atom; space group = R3m (160); spin magnetization = 1.125 μB/f.u.
1.0
3.237 0.000 0.000
1.618 2.803 0.000
1.618 0.934 9.275
Sc W Sb
2 1 1
direct
0.759 0.759 0.723 Sc
0.995 0.995 0.015 Sc
0.504 0.504 0.488 W
0.242 0.242 0.273 Sb

=====

SCAN YScSb2, PBEsol geometry; calculated total energy = -29.9740 eV/atom; DOS at the Fermi energy = 0.512 states/eV per atom; space group = Cmmm (65); spin magnetization = 0.000 μB/f.u.
1.0
3.876 0.000 0.000
0.000 5.042 -0.004
0.000 -0.903 4.960
Y Sb Sc
1 2 1
direct
0.500 0.500 0.500 Y
0.000 0.500 0.000 Sb
0.000 0.000 0.500 Sb
0.500 0.000 0.000 Sc

=====

SCAN Y2ScSb2, PBEsol geometry; calculated total energy = -29.9264 eV/atom; DOS at the Fermi energy = 0.815 states/eV per atom; space group = P4/mbm (127); spin magnetization = 0.004 μB/f.u.
1.0
-1.923 -3.097 -2.030
6.800 -3.859 -0.554
-1.467 -3.565 6.826
Sb Y Sc
4 4 2
direct
0.000 0.648 0.148 Sb
0.000 0.148 0.352 Sb
0.000 0.352 0.852 Sb
0.000 0.852 0.648 Sb
0.500 0.843 0.343 Y
0.500 0.657 0.843 Y
0.500 0.343 0.157 Y
0.500 0.157 0.657 Y
0.000 0.500 0.500 Sc
0.000 0.000 0.000 Sc

=====

> Which of these has the lowest DOS at the Fermi energy?

Sc2SbW

=====

Repeat the first record exactly.
SCAN Sc2SbW, PBEsol geometry; calculated total energy = -33.6346 eV/atom; DOS at the Fermi energy = 0.345 states/eV per atom; space group = R3m (160); spin magnetization = 1.125 μB/f.u.
1.0
3.237 0.000 0.000
1.618 2.803 0.000
1.618 0.934 9.275
Sc W Sb
2 1 1
direct
0.759 0.759 0.723 Sc
0.995 0.995 0.015 Sc
0.504 0.504 0.488 W
0.242 0.242 0.273 Sb